# 1
First-principles (PBE) data for crystalline Ce3Er2PaP6 at its relaxed geometry, as listed in the Alexandria database.

Unit cell a=6.966 b=6.966 c=6.996 alpha=99.54 beta=99.54 gamma=119.99
Fractional coordinates of all 12 atoms:
1 Ce 0.000 0.000 0.000
2 Ce 0.332 0.668 0.000
3 Ce 0.668 0.332 0.000
4 Er 0.166 0.834 0.500
5 Er 0.834 0.166 0.500
6 Pa 0.500 0.500 0.500
7 P 0.090 0.420 0.259
8 P 0.250 0.250 0.741
9 P 0.420 0.090 0.259
10 P 0.580 0.910 0.741
11 P 0.750 0.750 0.259
12 P 0.910 0.580 0.741

Crystal system: monoclinic
Volume (Å³ per cell): 277
Energy of formation from the pure elements (eV/atom): -1.507


# 2
First-principles (PBE) data for crystalline Ce2ErPaP4 at its relaxed geometry, as listed in the Alexandria database.

Unit cell a=6.949 b=4.028 c=6.993 alpha=90.00 beta=109.43 gamma=90.00
Fractional coordinates of all 8 atoms:
1 Ce 0.000 0.000 0.000
2 Ce 0.500 0.500 0.000
3 Er 0.000 0.500 0.500
4 Pa 0.500 0.000 0.500
5 P 0.250 0.000 0.741
6 P 0.254 0.500 0.260
7 P 0.746 0.500 0.740
8 P 0.750 0.000 0.259

Crystal system: monoclinic
Volume (Å³ per cell): 185
Energy of formation from the pure elements (eV/atom): -1.481


# 3
First-principles (PBE) data for crystalline Ce4ErPa3P8 at its relaxed geometry, as listed in the Alexandria database.

Unit cell a=8.053 b=8.053 c=8.053 alpha=59.82 beta=59.82 gamma=59.82
Fractional coordinates of all 16 atoms:
1 Ce 0.000 0.000 0.000
2 Ce 0.000 0.500 0.500
3 Ce 0.500 0.000 0.500
4 Ce 0.500 0.500 0.000
5 Er 0.500 0.500 0.500
6 Pa 0.000 0.000 0.500
7 Pa 0.000 0.500 0.000
8 Pa 0.500 0.000 0.000
9 P 0.246 0.747 0.747
10 P 0.247 0.247 0.247
11 P 0.253 0.253 0.754
12 P 0.253 0.754 0.253
13 P 0.747 0.246 0.747
14 P 0.747 0.747 0.246
15 P 0.753 0.753 0.753
16 P 0.754 0.253 0.253

Crystal system: trigonal
Volume (Å³ per cell): 368
Energy of formation from the pure elements (eV/atom): -1.450


# 4
First-principles (PBE) data for crystalline Ce3ErPa2P6 at its relaxed geometry, as listed in the Alexandria database.

Unit cell a=6.958 b=6.958 c=6.988 alpha=99.55 beta=99.55 gamma=120.01
Fractional coordinates of all 12 atoms:
1 Ce 0.000 0.000 0.000
2 Ce 0.334 0.666 0.000
3 Ce 0.666 0.334 0.000
4 Er 0.500 0.500 0.500
5 Pa 0.167 0.833 0.500
6 Pa 0.833 0.167 0.500
7 P 0.085 0.420 0.260
8 P 0.245 0.245 0.740
9 P 0.420 0.085 0.260
10 P 0.580 0.915 0.740
11 P 0.755 0.755 0.260
12 P 0.915 0.580 0.740

Crystal system: monoclinic
Volume (Å³ per cell): 276
Energy of formation from the pure elements (eV/atom): -1.460


# 5
First-principles (PBE) data for crystalline CeEr2PaP4 at its relaxed geometry, as listed in the Alexandria database.

Unit cell a=6.887 b=3.999 c=6.931 alpha=90.00 beta=109.53 gamma=90.00
Fractional coordinates of all 8 atoms:
1 Ce 0.000 0.000 0.000
2 Er 0.500 0.000 0.500
3 Er 0.500 0.500 0.000
4 Pa 0.000 0.500 0.500
5 P 0.251 0.000 0.746
6 P 0.253 0.500 0.256
7 P 0.747 0.500 0.744
8 P 0.749 0.000 0.254

Crystal system: monoclinic
Volume (Å³ per cell): 180
Energy of formation from the pure elements (eV/atom): -1.505


# 6
First-principles (PBE) data for crystalline Ce2Pm3ErP6 at its relaxed geometry, as listed in the Alexandria database.

Unit cell a=7.073 b=7.073 c=7.083 alpha=99.58 beta=99.58 gamma=120.00
Fractional coordinates of all 12 atoms:
1 Ce 0.167 0.833 0.000
2 Ce 0.833 0.167 0.000
3 Pm 0.000 0.000 0.500
4 Pm 0.333 0.667 0.500
5 Pm 0.667 0.333 0.500
6 Er 0.500 0.500 0.000
7 P 0.088 0.419 0.758
8 P 0.249 0.249 0.243
9 P 0.419 0.088 0.758
10 P 0.581 0.912 0.242
11 P 0.751 0.751 0.757
12 P 0.912 0.581 0.242

Crystal system: monoclinic
Volume (Å³ per cell): 289
Energy of formation from the pure elements (eV/atom): -1.555


# 7
First-principles (PBE) data for crystalline CePrEr2P4 at its relaxed geometry, as listed in the Alexandria database.

Unit cell a=7.009 b=4.059 c=7.033 alpha=90.00 beta=109.43 gamma=90.00
Fractional coordinates of all 8 atoms:
1 Ce 0.000 0.000 0.000
2 Pr 0.000 0.500 0.500
3 Er 0.500 0.000 0.500
4 Er 0.500 0.500 0.000
5 P 0.258 0.500 0.249
6 P 0.261 0.000 0.759
7 P 0.739 0.000 0.241
8 P 0.742 0.500 0.751

Crystal system: monoclinic
Volume (Å³ per cell): 189
Energy of formation from the pure elements (eV/atom): -1.554


# 8
First-principles (PBE) data for crystalline CePr2ErP4 at its relaxed geometry, as listed in the Alexandria database.

Unit cell a=7.107 b=4.114 c=7.133 alpha=90.00 beta=109.39 gamma=90.00
Fractional coordinates of all 8 atoms:
1 Ce 0.000 0.000 0.000
2 Pr 0.000 0.500 0.500
3 Pr 0.500 0.000 0.500
4 Er 0.500 0.500 0.000
5 P 0.248 0.500 0.238
6 P 0.255 0.000 0.764
7 P 0.745 0.000 0.236
8 P 0.752 0.500 0.762

Crystal system: monoclinic
Volume (Å³ per cell): 197
Energy of formation from the pure elements (eV/atom): -1.534


# 9
First-principles (PBE) data for crystalline CePr3Er2P6 at its relaxed geometry, as listed in the Alexandria database.

Unit cell a=7.100 b=7.100 c=7.118 alpha=99.57 beta=99.57 gamma=119.99
Fractional coordinates of all 12 atoms:
1 Ce 0.000 0.000 0.000
2 Pr 0.167 0.833 0.500
3 Pr 0.500 0.500 0.500
4 Pr 0.833 0.167 0.500
5 Er 0.333 0.667 0.000
6 Er 0.667 0.333 0.000
7 P 0.079 0.413 0.237
8 P 0.255 0.255 0.764
9 P 0.413 0.079 0.237
10 P 0.587 0.921 0.763
11 P 0.745 0.745 0.236
12 P 0.921 0.587 0.763

Crystal system: monoclinic
Volume (Å³ per cell): 293
Energy of formation from the pure elements (eV/atom): -1.543


# 10
First-principles (PBE) data for crystalline Ce2PrErP4 at its relaxed geometry, as listed in the Alexandria database.

Unit cell a=7.071 b=4.089 c=7.086 alpha=90.00 beta=109.49 gamma=90.00
Fractional coordinates of all 8 atoms:
1 Ce 0.000 0.000 0.000
2 Ce 0.000 0.500 0.500
3 Pr 0.500 0.000 0.500
4 Er 0.500 0.500 0.000
5 P 0.245 0.500 0.241
6 P 0.251 0.000 0.757
7 P 0.749 0.000 0.243
8 P 0.755 0.500 0.759

Crystal system: monoclinic
Volume (Å³ per cell): 193
Energy of formation from the pure elements (eV/atom): -1.525


# 11
First-principles (PBE) data for crystalline Ce2ErP3Rh12 at its relaxed geometry, as listed in the Alexandria database.

Unit cell a=6.762 b=6.762 c=6.762 alpha=80.60 beta=80.60 gamma=80.60
Fractional coordinates of all 18 atoms:
1 Ce 0.115 0.115 0.115
2 Ce 0.885 0.885 0.885
3 Er 0.500 0.500 0.500
4 P 0.000 0.500 0.500
5 P 0.500 0.000 0.500
6 P 0.500 0.500 0.000
7 Rh 0.145 0.683 0.683
8 Rh 0.151 0.151 0.588
9 Rh 0.151 0.588 0.151
10 Rh 0.317 0.317 0.855
11 Rh 0.317 0.855 0.317
12 Rh 0.412 0.849 0.849
13 Rh 0.588 0.151 0.151
14 Rh 0.683 0.145 0.683
15 Rh 0.683 0.683 0.145
16 Rh 0.849 0.412 0.849
17 Rh 0.849 0.849 0.412
18 Rh 0.855 0.317 0.317

Crystal system: trigonal
Volume (Å³ per cell): 298
Energy of formation from the pure elements (eV/atom): -0.501


# 12
First-principles (PBE) data for crystalline CeErP2Rh5 at its relaxed geometry, as listed in the Alexandria database.

Unit cell a=4.027 b=4.027 c=10.788 alpha=90.00 beta=90.00 gamma=90.00
Fractional coordinates of all 9 atoms:
1 Ce 0.000 0.000 0.000
2 Er 0.500 0.500 0.500
3 P 0.000 0.000 0.292
4 P 0.000 0.000 0.708
5 Rh 0.000 0.000 0.500
6 Rh 0.000 0.500 0.195
7 Rh 0.000 0.500 0.805
8 Rh 0.500 0.000 0.195
9 Rh 0.500 0.000 0.805

Crystal system: tetragonal
Volume (Å³ per cell): 175
Energy of formation from the pure elements (eV/atom): -0.626